(1)
# CdBi2Pd4

Crystalline CdBi2Pd4 at its relaxed geometry (GGA-PBE, Alexandria via LeMat-Bulk).

Lattice parameters (Å, degrees): 4.906 5.699 10.808 90.00 109.39 90.00
Fractional positions:
Cd  0.000  0.000  0.000
Cd  0.000  0.500  0.500
Bi  0.375  0.167  0.347
Bi  0.375  0.333  0.847
Bi  0.625  0.667  0.153
Bi  0.625  0.833  0.653
Pd  0.104  0.057  0.630
Pd  0.104  0.443  0.130
Pd  0.409  0.664  0.387
Pd  0.409  0.836  0.887
Pd  0.591  0.164  0.113
Pd  0.591  0.336  0.613
Pd  0.896  0.557  0.870
Pd  0.896  0.943  0.370

Summary:
ΔH_f (0 K): -0.276 eV/atom
Space-group type: No. 14

(2)
# Ag2PW

Crystalline Ag2PW at its relaxed geometry (GGA-PBE, Alexandria via LeMat-Bulk).

Lattice parameters (Å, degrees): 8.746 3.044 11.016 90.00 111.83 90.00
Fractional positions:
Ag  0.000  0.000  0.000
Ag  0.069  0.500  0.259
Ag  0.283  0.500  0.133
Ag  0.359  0.000  0.387
Ag  0.500  0.500  0.000
Ag  0.569  0.000  0.259
Ag  0.783  0.000  0.133
Ag  0.859  0.500  0.387
P  0.243  0.000  0.822
P  0.343  0.500  0.587
P  0.743  0.500  0.822
P  0.843  0.000  0.587
W  0.007  0.500  0.772
W  0.124  0.000  0.590
W  0.507  0.000  0.772
W  0.624  0.500  0.590

Summary:
ΔH_f (0 K): 0.095 eV/atom
Space-group type: No. 8

(3)
# Rb3Tl2In4

Crystalline Rb3Tl2In4 at its relaxed geometry (GGA-PBE, Alexandria via LeMat-Bulk).

Lattice parameters (Å, degrees): 5.461 7.358 10.392 70.34 74.84 68.22
Fractional positions:
Rb  0.000  0.000  0.000
Rb  0.386  0.869  0.358
Rb  0.614  0.131  0.642
Tl  0.293  0.667  0.746
Tl  0.707  0.333  0.254
In  0.088  0.465  0.360
In  0.275  0.387  0.062
In  0.725  0.613  0.938
In  0.912  0.535  0.640

Summary:
ΔH_f (0 K): -0.055 eV/atom
Space-group type: No. 2
Relative energy among the computed polymorphs: 0.0000 eV per atom

(4)
# BiSbMo2

Crystalline BiSbMo2 at its relaxed geometry (GGA-PBE, Alexandria via LeMat-Bulk).

Lattice parameters (Å, degrees): 6.750 6.750 6.750 90.00 90.00 90.00
Fractional positions:
Bi  0.000  0.000  0.000
Bi  0.000  0.500  0.500
Bi  0.500  0.000  0.500
Bi  0.500  0.500  0.000
Sb  0.000  0.000  0.500
Sb  0.000  0.500  0.000
Sb  0.500  0.000  0.000
Sb  0.500  0.500  0.500
Mo  0.250  0.250  0.250
Mo  0.250  0.250  0.750
Mo  0.250  0.750  0.250
Mo  0.250  0.750  0.750
Mo  0.750  0.250  0.250
Mo  0.750  0.250  0.750
Mo  0.750  0.750  0.250
Mo  0.750  0.750  0.750

Summary:
Formation energy from raw total energies: 0.509 eV per atom
Space-group type: No. 225
Relative energy among the computed polymorphs: 0.0000 eV per atom

(5)
# Ni5Pb

Crystalline Ni5Pb at its relaxed geometry (GGA-PBE, Alexandria via LeMat-Bulk).

Lattice parameters (Å, degrees): 3.767 10.981 3.726 90.00 90.00 90.00
Fractional positions:
Ni  0.000  0.000  0.000
Ni  0.000  0.176  0.500
Ni  0.000  0.322  0.000
Ni  0.000  0.678  0.000
Ni  0.000  0.824  0.500
Ni  0.500  0.178  0.000
Ni  0.500  0.324  0.500
Ni  0.500  0.500  0.000
Ni  0.500  0.676  0.500
Ni  0.500  0.822  0.000
Pb  0.000  0.500  0.500
Pb  0.500  0.000  0.500

Summary:
ΔH_f (0 K): 0.142 eV/atom
Space-group type: No. 65

(6)
# Er5TmPb2

Crystalline Er5TmPb2 at its relaxed geometry (GGA-PBE, Alexandria via LeMat-Bulk).

Lattice parameters (Å, degrees): 6.812 13.624 4.815 90.00 90.00 90.00
Fractional positions:
Er  0.000  0.000  0.000
Er  0.000  0.250  0.000
Er  0.000  0.750  0.000
Er  0.250  0.125  0.500
Er  0.250  0.625  0.500
Er  0.500  0.250  0.000
Er  0.500  0.500  0.000
Er  0.500  0.750  0.000
Er  0.750  0.375  0.500
Er  0.750  0.875  0.500
Tm  0.000  0.500  0.000
Tm  0.500  0.000  0.000
Pb  0.250  0.375  0.500
Pb  0.250  0.875  0.500
Pb  0.750  0.125  0.500
Pb  0.750  0.625  0.500

Summary:
ΔH_f (0 K): -0.252 eV/atom
Space-group type: No. 55
Relative energy among the computed polymorphs: 0.0000 eV per atom

(7)
# MnAuIN2

Crystalline MnAuIN2 at its relaxed geometry (GGA-PBE, Alexandria via LeMat-Bulk).

Lattice parameters (Å, degrees): 3.925 3.925 7.004 90.00 90.00 90.00
Fractional positions:
Mn  0.000  0.000  0.000
Au  0.500  0.500  0.500
I  0.500  0.500  0.000
N  0.000  0.500  0.500
N  0.500  0.000  0.500

Summary:
Formation energy from raw total energies: 2.195 eV per atom
Space-group type: No. 123
Relative energy among the computed polymorphs: 1.2847 eV per atom

(8)
# Mo3PC

Crystalline Mo3PC at its relaxed geometry (GGA-PBE, Alexandria via LeMat-Bulk).

Lattice parameters (Å, degrees): 4.108 4.108 4.108 90.00 90.00 90.00
Fractional positions:
Mo  0.000  0.000  0.500
Mo  0.000  0.500  0.000
Mo  0.500  0.000  0.000
P  0.500  0.500  0.500
C  0.000  0.000  0.000

Summary:
ΔH_f (0 K): 0.299 eV/atom
Space-group type: No. 221
Relative energy among the computed polymorphs: 0.1541 eV per atom

(9)
# Tb9Er2Tm3

Crystalline Tb9Er2Tm3 at its relaxed geometry (GGA-PBE, Alexandria via LeMat-Bulk).

Lattice parameters (Å, degrees): 11.866 11.866 6.965 98.41 98.41 26.82
Fractional positions:
Tb  0.000  0.000  0.000
Tb  0.143  0.143  0.324
Tb  0.292  0.292  0.396
Tb  0.293  0.293  0.896
Tb  0.431  0.431  0.217
Tb  0.569  0.569  0.783
Tb  0.707  0.707  0.104
Tb  0.708  0.708  0.604
Tb  0.857  0.857  0.676
Er  0.429  0.429  0.714
Er  0.571  0.571  0.286
Tm  0.000  0.000  0.500
Tm  0.143  0.143  0.822
Tm  0.857  0.857  0.178

Summary:
ΔH_f (0 K): 0.058 eV/atom
Space-group type: No. 12

(10)
# Mg2SnPb5

Crystalline Mg2SnPb5 at its relaxed geometry (GGA-PBE, Alexandria via LeMat-Bulk).

Lattice parameters (Å, degrees): 3.471 9.602 13.983 90.00 90.00 90.00
Fractional positions:
Mg  0.000  0.000  0.226
Mg  0.000  0.000  0.774
Mg  0.500  0.500  0.274
Mg  0.500  0.500  0.726
Sn  0.000  0.500  0.000
Sn  0.500  0.000  0.500
Pb  0.000  0.000  0.000
Pb  0.000  0.244  0.368
Pb  0.000  0.244  0.632
Pb  0.000  0.756  0.368
Pb  0.000  0.756  0.632
Pb  0.500  0.256  0.132
Pb  0.500  0.256  0.868
Pb  0.500  0.500  0.500
Pb  0.500  0.744  0.132
Pb  0.500  0.744  0.868

Summary:
ΔH_f (0 K): 0.037 eV/atom
Space-group type: No. 71

(11)
# BSb2TeMo

Crystalline BSb2TeMo at its relaxed geometry (GGA-PBE, Alexandria via LeMat-Bulk).

Lattice parameters (Å, degrees): 5.244 5.244 5.246 90.00 90.00 90.00
Fractional positions:
B  0.000  0.000  0.000
Sb  0.000  0.500  0.500
Sb  0.500  0.000  0.500
Te  0.500  0.500  0.000
Mo  0.500  0.500  0.500

Summary:
Formation energy from raw total energies: 1.373 eV per atom
Space-group type: No. 123
Relative energy among the computed polymorphs: 0.2552 eV per atom

(12)
# KCu3Pd4O12

Crystalline KCu3Pd4O12 at its relaxed geometry (GGA-PBE, Alexandria via LeMat-Bulk).

Lattice parameters (Å, degrees): 6.571 6.571 6.571 109.47 109.47 109.47
Fractional positions:
K  0.000  0.000  0.000
Cu  0.000  0.500  0.500
Cu  0.500  0.000  0.500
Cu  0.500  0.500  0.000
Pd  0.000  0.000  0.500
Pd  0.000  0.500  0.000
Pd  0.500  0.000  0.000
Pd  0.500  0.500  0.500
O  0.149  0.824  0.325
O  0.176  0.325  0.501
O  0.176  0.675  0.851
O  0.325  0.149  0.824
O  0.325  0.501  0.176
O  0.499  0.824  0.675
O  0.501  0.176  0.325
O  0.675  0.499  0.824
O  0.675  0.851  0.176
O  0.824  0.325  0.149
O  0.824  0.675  0.499
O  0.851  0.176  0.675

Summary:
Formation energy from raw total energies: -0.475 eV per atom
Space-group type: No. 204

(13)
# Ni5Sb2Pd

Crystalline Ni5Sb2Pd at its relaxed geometry (GGA-PBE, Alexandria via LeMat-Bulk).

Lattice parameters (Å, degrees): 3.437 7.195 9.611 90.00 90.00 90.00
Fractional positions:
Ni  0.000  0.000  0.000
Ni  0.000  0.312  0.371
Ni  0.000  0.312  0.629
Ni  0.000  0.688  0.371
Ni  0.000  0.688  0.629
Ni  0.500  0.188  0.129
Ni  0.500  0.188  0.871
Ni  0.500  0.500  0.500
Ni  0.500  0.812  0.129
Ni  0.500  0.812  0.871
Sb  0.000  0.000  0.269
Sb  0.000  0.000  0.731
Sb  0.500  0.500  0.231
Sb  0.500  0.500  0.769
Pd  0.000  0.500  0.000
Pd  0.500  0.000  0.500

Summary:
Formation energy from raw total energies: -0.015 eV per atom
Space-group type: No. 71

(14)
# Nb2Ga2Rh

Crystalline Nb2Ga2Rh at its relaxed geometry (GGA-PBE, Alexandria via LeMat-Bulk).

Lattice parameters (Å, degrees): 6.424 6.424 3.967 90.00 90.00 90.00
Fractional positions:
Nb  0.163  0.337  0.000
Nb  0.337  0.837  0.000
Nb  0.663  0.163  0.000
Nb  0.837  0.663  0.000
Ga  0.139  0.639  0.500
Ga  0.361  0.139  0.500
Ga  0.639  0.861  0.500
Ga  0.861  0.361  0.500
Rh  0.000  0.000  0.500
Rh  0.500  0.500  0.500

Summary:
ΔH_f (0 K): -0.360 eV/atom
Space-group type: No. 127
Relative energy among the computed polymorphs: 0.0000 eV per atom

(15)
# Ba2NpSbS6

Crystalline Ba2NpSbS6 at its relaxed geometry (GGA-PBE, Alexandria via LeMat-Bulk).

Lattice parameters (Å, degrees): 5.184 5.184 10.345 90.00 90.00 90.00
Fractional positions:
Ba  0.000  0.000  0.230
Ba  0.000  0.000  0.770
Np  0.500  0.500  0.500
Sb  0.500  0.500  0.000
S  0.000  0.500  0.000
S  0.000  0.500  0.500
S  0.500  0.000  0.000
S  0.500  0.000  0.500
S  0.500  0.500  0.253
S  0.500  0.500  0.747

Summary:
Formation energy from raw total energies: -1.277 eV per atom
Space-group type: No. 123

(16)
# Pm3PuGe4

Crystalline Pm3PuGe4 at its relaxed geometry (GGA-PBE, Alexandria via LeMat-Bulk).

Lattice parameters (Å, degrees): 4.120 6.517 15.988 90.00 90.00 90.00
Fractional positions:
Pm  0.000  0.000  0.000
Pm  0.000  0.500  0.194
Pm  0.000  0.500  0.806
Pm  0.500  0.000  0.306
Pm  0.500  0.000  0.694
Pm  0.500  0.500  0.500
Pu  0.000  0.000  0.500
Pu  0.500  0.500  0.000
Ge  0.000  0.309  0.370
Ge  0.000  0.309  0.630
Ge  0.000  0.691  0.370
Ge  0.000  0.691  0.630
Ge  0.500  0.191  0.130
Ge  0.500  0.191  0.870
Ge  0.500  0.809  0.130
Ge  0.500  0.809  0.870

Summary:
ΔH_f (0 K): -0.560 eV/atom
Space-group type: No. 71

(17)
# NaCaCo2

Crystalline NaCaCo2 at its relaxed geometry (GGA-PBE, Alexandria via LeMat-Bulk).

Lattice parameters (Å, degrees): 6.785 6.785 6.785 90.00 90.00 90.00
Fractional positions:
Na  0.000  0.000  0.000
Na  0.000  0.500  0.500
Na  0.500  0.000  0.500
Na  0.500  0.500  0.000
Ca  0.000  0.000  0.500
Ca  0.000  0.500  0.000
Ca  0.500  0.000  0.000
Ca  0.500  0.500  0.500
Co  0.250  0.250  0.250
Co  0.250  0.250  0.750
Co  0.250  0.750  0.250
Co  0.250  0.750  0.750
Co  0.750  0.250  0.250
Co  0.750  0.250  0.750
Co  0.750  0.750  0.250
Co  0.750  0.750  0.750

Summary:
ΔH_f (0 K): 0.850 eV/atom
Space-group type: No. 225
Relative energy among the computed polymorphs: 0.0000 eV per atom

(18)
# NaIn2Ga2

Crystalline NaIn2Ga2 at its relaxed geometry (GGA-PBE, Alexandria via LeMat-Bulk).

Lattice parameters (Å, degrees): 4.959 6.203 8.798 78.08 79.67 67.16
Fractional positions:
Na  0.144  0.366  0.307
Na  0.856  0.634  0.693
In  0.212  0.709  0.955
In  0.386  0.749  0.426
In  0.614  0.251  0.574
In  0.788  0.291  0.045
Ga  0.173  0.042  0.679
Ga  0.367  0.190  0.900
Ga  0.633  0.810  0.100
Ga  0.827  0.958  0.321

Summary:
ΔH_f (0 K): -0.066 eV/atom
Space-group type: No. 2
Relative energy among the computed polymorphs: 0.0170 eV per atom

(19)
# ReTcHIr2

Crystalline ReTcHIr2 at its relaxed geometry (GGA-PBE, Alexandria via LeMat-Bulk).

Lattice parameters (Å, degrees): 4.725 4.725 4.687 90.00 90.00 90.00
Fractional positions:
Re  0.000  0.000  0.000
Tc  0.000  0.000  0.500
H  0.500  0.500  0.000
Ir  0.000  0.500  0.500
Ir  0.500  0.000  0.500

Summary:
Space-group type: No. 123
Relative energy among the computed polymorphs: 2.4526 eV per atom

(20)
# PmHo2Sc

Crystalline PmHo2Sc at its relaxed geometry (GGA-PBE, Alexandria via LeMat-Bulk).

Lattice parameters (Å, degrees): 6.097 3.524 11.434 90.00 100.26 90.00
Fractional positions:
Pm  0.000  0.000  0.000
Pm  0.500  0.500  0.000
Ho  0.079  0.500  0.739
Ho  0.421  0.000  0.264
Ho  0.579  0.000  0.739
Ho  0.921  0.500  0.264
Sc  0.334  0.500  0.503
Sc  0.834  0.000  0.503

Summary:
ΔH_f (0 K): 0.031 eV/atom
Space-group type: No. 8
Relative energy among the computed polymorphs: 0.0039 eV per atom

(21)
# Li2InCuH

Crystalline Li2InCuH at its relaxed geometry (GGA-PBE, Alexandria via LeMat-Bulk).

Lattice parameters (Å, degrees): 4.042 4.042 3.920 90.00 90.00 90.00
Fractional positions:
Li  0.000  0.500  0.000
Li  0.500  0.000  0.000
In  0.000  0.000  0.500
Cu  0.500  0.500  0.500
H  0.500  0.500  0.000

Summary:
Space-group type: No. 123
Relative energy among the computed polymorphs: 0.0000 eV per atom

(22)
# ZrP2Rh

Crystalline ZrP2Rh at its relaxed geometry (GGA-PBE, Alexandria via LeMat-Bulk).

Lattice parameters (Å, degrees): 3.453 3.463 10.716 90.00 90.00 90.00
Fractional positions:
Zr  0.000  0.000  0.000
Zr  0.500  0.500  0.500
P  0.000  0.000  0.588
P  0.000  0.500  0.815
P  0.500  0.000  0.315
P  0.500  0.500  0.088
Rh  0.000  0.500  0.251
Rh  0.500  0.000  0.751

Summary:
ΔH_f (0 K): -0.837 eV/atom
Space-group type: No. 44
Relative energy among the computed polymorphs: 0.0000 eV per atom

(23)
# CaTbInGe

Crystalline CaTbInGe at its relaxed geometry (GGA-PBE, Alexandria via LeMat-Bulk).

Lattice parameters (Å, degrees): 7.436 7.436 7.436 90.00 90.00 90.00
Fractional positions:
Ca  0.000  0.000  0.000
Ca  0.000  0.500  0.500
Ca  0.500  0.000  0.500
Ca  0.500  0.500  0.000
Tb  0.000  0.000  0.500
Tb  0.000  0.500  0.000
Tb  0.500  0.000  0.000
Tb  0.500  0.500  0.500
In  0.250  0.250  0.250
In  0.250  0.750  0.750
In  0.750  0.250  0.750
In  0.750  0.750  0.250
Ge  0.250  0.250  0.750
Ge  0.250  0.750  0.250
Ge  0.750  0.250  0.250
Ge  0.750  0.750  0.750

Summary:
ΔH_f (0 K): -0.450 eV/atom
Space-group type: No. 216